#one
MgSc4Ag | PBE-GGA | optimized geometry

The structure in POSCAR format:
```
MgSc4Ag
1.0
4.1378 -2.3655 0.0000
4.1378 2.3655 0.0000
-2.7469 0.0000 8.0537
Mg Sc Ag
1 4 1
direct
0.0000 0.0000 0.0000
0.1292 0.1292 0.3872
0.3812 0.3812 0.1484
0.6188 0.6188 0.8516
0.8708 0.8708 0.6128
0.5000 0.5000 0.5000
```

Calculated values
space group: C2/m (12)
calculated volume: 26.277 Å³ per atom

#two
MgSc4Ag | PBE-GGA | optimized geometry

The structure in POSCAR format:
```
MgSc4Ag
1.0
0.0000 4.1438 4.1438
4.1438 0.0000 4.1438
4.1438 4.1438 0.0000
Mg Sc Ag
1 4 1
direct
0.0000 0.0000 0.0000
0.1241 0.6253 0.6253
0.6253 0.1241 0.6253
0.6253 0.6253 0.1241
0.6253 0.6253 0.6253
0.2500 0.2500 0.2500
```

Calculated values
space group: F-43m (216)
calculated volume: 23.719 Å³ per atom

#three
MgSc4Ag | PBE-GGA | optimized geometry

The structure in POSCAR format:
```
MgSc4Ag
1.0
3.3302 0.0000 0.0000
0.0000 3.3302 0.0000
0.0000 0.0000 12.3776
Mg Sc Ag
1 4 1
direct
0.0000 0.0000 0.0000
0.0000 0.0000 0.3521
0.0000 0.0000 0.6479
0.5000 0.5000 0.1741
0.5000 0.5000 0.8259
0.5000 0.5000 0.5000
```

Calculated values
space group: P4/mmm (123)
calculated volume: 22.879 Å³ per atom

Most stable structure, least stable structure: #three, #one.

#one
Mg2ScAg2 | PBE-GGA | optimized geometry

The structure in POSCAR format:
```
Mg2ScAg2
1.0
7.9819 0.0000 0.0000
0.0000 7.9819 0.0000
0.0000 0.0000 3.1748
Mg Sc Ag
4 2 4
direct
0.1601 0.3399 0.0000
0.3399 0.8399 0.0000
0.6601 0.1601 0.0000
0.8399 0.6601 0.0000
0.0000 0.0000 0.5000
0.5000 0.5000 0.5000
0.1366 0.6366 0.5000
0.3634 0.1366 0.5000
0.6366 0.8634 0.5000
0.8634 0.3634 0.5000
```

Calculated values
space group: P4/mbm (127)
calculated volume: 20.227 Å³ per atom

#two
Mg2ScAg2 | PBE-GGA | optimized geometry

The structure in POSCAR format:
```
Mg2ScAg2
1.0
8.1030 0.0000 0.0000
0.0000 8.1030 0.0000
0.0000 0.0000 3.0207
Mg Sc Ag
4 2 4
direct
0.1288 0.3712 0.0000
0.3712 0.8712 0.0000
0.6288 0.1288 0.0000
0.8712 0.6288 0.0000
0.0000 0.0000 0.0000
0.5000 0.5000 0.0000
0.1698 0.6698 0.5000
0.3302 0.1698 0.5000
0.6698 0.8302 0.5000
0.8302 0.3302 0.5000
```

Calculated values
space group: P4/mbm (127)
calculated volume: 19.834 Å³ per atom

#three
Mg2ScAg2 | PBE-GGA | optimized geometry

The structure in POSCAR format:
```
Mg2ScAg2
1.0
-2.0212 2.0212 6.4761
2.0212 -2.0212 6.4761
2.0212 2.0212 -6.4761
Mg Sc Ag
2 1 2
direct
0.2500 0.7500 0.5000
0.7500 0.2500 0.5000
0.0000 0.0000 0.0000
0.3971 0.3971 0.0000
0.6029 0.6029 0.0000
```

Calculated values
space group: I4/mmm (139)
calculated volume: 21.166 Å³ per atom

Most stable structure, least stable structure: #one, #three.

#one
Mg2ScAg2 | PBE-GGA | optimized geometry

The structure in POSCAR format:
```
Mg2ScAg2
1.0
4.7675 0.0000 0.0000
-2.3838 4.1288 0.0000
0.0000 0.0000 5.5268
Mg Sc Ag
2 1 2
direct
0.3333 0.6667 0.1404
0.6667 0.3333 0.8596
0.0000 0.0000 0.5000
0.3333 0.6667 0.6426
0.6667 0.3333 0.3574
```

Calculated values
space group: P-3m1 (164)
calculated volume: 21.758 Å³ per atom

#two
Mg2ScAg2 | PBE-GGA | optimized geometry

The structure in POSCAR format:
```
Mg2ScAg2
1.0
1.7111 -9.1891 0.0000
1.7111 9.1891 0.0000
0.0000 0.0000 3.3626
Mg Sc Ag
2 1 2
direct
0.1790 0.8210 0.0000
0.8210 0.1790 0.0000
0.0000 0.0000 0.0000
0.4069 0.5931 0.5000
0.5931 0.4069 0.5000
```

Calculated values
space group: Cmmm (65)
calculated volume: 21.149 Å³ per atom

Most stable structure, least stable structure: #two, #one.

#one
TmMgScAg | PBE-GGA | optimized geometry

The structure in POSCAR format:
```
TmMgScAg
1.0
3.6912 0.0000 0.0000
0.0000 4.9071 0.0000
0.0000 0.0000 5.0606
Tm Mg Sc Ag
1 1 1 1
direct
0.0000 0.0000 0.0000
0.5000 0.0000 0.5000
0.0000 0.5000 0.5000
0.5000 0.5000 0.0000
```

Calculated values
space group: Pmmm (47)
calculated volume: 22.916 Å³ per atom

#two
TmMgScAg | PBE-GGA | optimized geometry

The structure in POSCAR format:
```
TmMgScAg
1.0
0.0000 3.5853 3.5853
3.5853 0.0000 3.5853
3.5853 3.5853 0.0000
Tm Mg Sc Ag
1 1 1 1
direct
0.0000 0.0000 0.0000
0.7500 0.7500 0.7500
0.5000 0.5000 0.5000
0.2500 0.2500 0.2500
```

Calculated values
space group: F-43m (216)
calculated volume: 23.043 Å³ per atom

Most stable structure, least stable structure: #one, #two.

#one
YMgScAg | PBE-GGA | optimized geometry

The structure in POSCAR format:
```
YMgScAg
1.0
3.6370 0.0000 0.0000
0.0000 3.6370 0.0000
0.0000 0.0000 7.1278
Y Mg Sc Ag
1 1 1 1
direct
0.0000 0.0000 0.0000
0.5000 0.5000 0.7188
0.0000 0.0000 0.4800
0.5000 0.5000 0.2634
```

Calculated values
space group: P4mm (99)
calculated volume: 23.571 Å³ per atom

#two
YMgScAg | PBE-GGA | optimized geometry

The structure in POSCAR format:
```
YMgScAg
1.0
0.0000 3.6152 3.6152
3.6152 0.0000 3.6152
3.6152 3.6152 0.0000
Y Mg Sc Ag
1 1 1 1
direct
0.0000 0.0000 0.0000
0.2500 0.2500 0.2500
0.5000 0.5000 0.5000
0.7500 0.7500 0.7500
```

Calculated values
space group: F-43m (216)
calculated volume: 23.624 Å³ per atom

Most stable structure, least stable structure: #one, #two.

#one
MgZrScAg | PBE-GGA | optimized geometry

The structure in POSCAR format:
```
MgZrScAg
1.0
0.0000 3.4913 3.4913
3.4913 0.0000 3.4913
3.4913 3.4913 0.0000
Mg Zr Sc Ag
1 1 1 1
direct
0.0000 0.0000 0.0000
0.2500 0.2500 0.2500
0.7500 0.7500 0.7500
0.5000 0.5000 0.5000
```

Calculated values
space group: F-43m (216)
calculated volume: 21.279 Å³ per atom

#two
MgZrScAg | PBE-GGA | optimized geometry

The structure in POSCAR format:
```
MgZrScAg
1.0
3.1803 0.0000 0.0000
0.0000 3.1803 0.0000
0.0000 0.0000 8.4514
Mg Zr Sc Ag
1 1 1 1
direct
0.0000 0.0000 0.0000
0.5000 0.5000 0.2803
0.0000 0.0000 0.5409
0.5000 0.5000 0.7815
```

Calculated values
space group: P4mm (99)
calculated volume: 21.370 Å³ per atom

Most stable structure, least stable structure: #two, #one.